Here is crystalline La2CuSe at its relaxed geometry from Alexandria. Energies are from PBE-GGA.

Cell: 12.2227 12.2227 4.4173 Å, 90.00 90.00 160.53°
Closest atoms and distances in Å follow each position.
Sites, in units of the cell vectors:
La: 0.0642 0.9358 0.7500  1 Se 3.04, 6 Cu 3.12-3.13
La: 0.3156 0.6844 0.7500  5 Se 3.02-3.03
La: 0.6844 0.3156 0.2500  5 Se 3.02-3.03
La: 0.9358 0.0642 0.2500  1 Se 3.04, 6 Cu 3.12-3.13
Cu: 0.4669 0.5331 0.7500  2 Cu 2.72
Cu: 0.5331 0.4669 0.2500  2 Cu 2.72
Se: 0.1904 0.8096 0.7500  6 La 3.02-3.04
Se: 0.8096 0.1904 0.2500  6 La 3.02-3.04

Summary:
* raw formation energy: -1.04 eV per atom
* total moment: 0.00 Bohr magnetons per cell
* final energy: -43.17 eV for the cell shown


Here is crystalline Sm5Dy12Tl2 at its relaxed geometry from Alexandria. Energies are from PBE-GGA.

Cell: 9.0258 9.0258 8.3535 Å, 91.82 91.82 62.59°
Closest atoms and distances in Å follow each position.
Sites, in units of the cell vectors:
Sm: 0.0000 0.0000 0.0000  10 Dy 3.39-3.69, 2 Sm 3.65
Sm: 0.2340 0.2340 0.0809  8 Dy 3.35-3.58, 2 Sm 3.60-3.65
Sm: 0.3102 0.3102 0.4941  2 Tl 3.41, 8 Dy 3.44-3.71, 1 Sm 3.60
Sm: 0.6898 0.6898 0.5059  2 Tl 3.41, 8 Dy 3.44-3.71, 1 Sm 3.60
Sm: 0.7660 0.7660 0.9191  8 Dy 3.35-3.58, 2 Sm 3.60-3.65
Dy: 0.0365 0.6686 0.2641  1 Tl 3.19, 4 Dy 3.39-3.57, 1 Sm 3.58
Dy: 0.0819 0.0819 0.3823  5 Dy 3.26-3.53, 2 Tl 3.36, 3 Sm 3.39-3.61
Dy: 0.1803 0.5682 0.8388  5 Dy 3.31-3.64, 4 Sm 3.40-3.69, 1 Tl 3.49
Dy: 0.3314 0.9635 0.7359  1 Tl 3.19, 4 Dy 3.39-3.57, 1 Sm 3.58
Dy: 0.4318 0.8197 0.1612  5 Dy 3.31-3.64, 4 Sm 3.40-3.69, 1 Tl 3.49
Dy: 0.4470 0.4470 0.1786  2 Tl 3.28, 7 Dy 3.31-3.52, 2 Sm 3.35-3.44
Dy: 0.5530 0.5530 0.8214  2 Tl 3.28, 7 Dy 3.31-3.52, 2 Sm 3.35-3.44
Dy: 0.5682 0.1803 0.8388  5 Dy 3.31-3.64, 4 Sm 3.40-3.69, 1 Tl 3.49
Dy: 0.6686 0.0365 0.2641  1 Tl 3.19, 4 Dy 3.39-3.57, 1 Sm 3.58
Dy: 0.8197 0.4318 0.1612  5 Dy 3.31-3.64, 4 Sm 3.40-3.69, 1 Tl 3.49
Dy: 0.9181 0.9181 0.6177  5 Dy 3.26-3.53, 2 Tl 3.36, 3 Sm 3.39-3.61
Dy: 0.9635 0.3314 0.7359  1 Tl 3.19, 4 Dy 3.39-3.57, 1 Sm 3.58
Tl: 0.3136 0.6864 0.5000  8 Dy 3.19-3.49, 2 Sm 3.41, 1 Tl 3.50
Tl: 0.6864 0.3136 0.5000  8 Dy 3.19-3.49, 2 Sm 3.41, 1 Tl 3.50

Summary:
* total moment: 0.00 Bohr magnetons per cell
* final energy: -83.23 eV for the cell shown


Here is crystalline TbEr2In2 at its relaxed geometry from Alexandria. Energies are from PBE-GGA.

Cell: 8.4310 8.4310 6.4872 Å, 90.00 90.00 143.23°
Closest atoms and distances in Å follow each position.
Sites, in units of the cell vectors:
Tb: 0.0976 0.9024 0.5000  5 In 3.16-3.53, 4 Er 3.51-3.54
Tb: 0.9024 0.0976 0.0000  5 In 3.16-3.53, 4 Er 3.51-3.54
Er: 0.3027 0.6973 0.7291  6 In 3.03-3.36
Er: 0.4745 0.5255 0.3059  3 In 3.05-3.23, 2 Er 3.34
Er: 0.5255 0.4745 0.8059  3 In 3.05-3.23, 2 Er 3.34
Er: 0.6973 0.3027 0.2291  6 In 3.03-3.36
In: 0.1031 0.8969 0.0125  3 Tb 3.16-3.33, 4 Er 3.23-3.36, 1 In 3.24
In: 0.2874 0.7126 0.2185  5 Er 3.03-3.32, 1 In 3.24
In: 0.7126 0.2874 0.7185  5 Er 3.03-3.32, 1 In 3.24
In: 0.8969 0.1031 0.5125  3 Tb 3.16-3.33, 4 Er 3.23-3.36, 1 In 3.24

Summary:
* E above lowest polymorph: 57 meV per atom
* total moment: 0.00 Bohr magnetons per cell
* final energy: -41.64 eV for the cell shown


Here is crystalline Ca2H2Ir at its relaxed geometry from Alexandria. Energies are from PBE-GGA.

Cell: 4.9761 4.9761 4.9761 Å, 120.25 120.25 89.57°
Closest atoms and distances in Å follow each position.
Sites, in units of the cell vectors:
Ca: 0.2500 0.7500 0.5000  4 H 2.48
Ca: 0.7500 0.2500 0.5000  4 H 2.48
H: 0.2407 0.2407 0.0000  1 Ir 1.70
H: 0.7593 0.7593 0.0000  1 Ir 1.70
Ir: 0.0000 0.0000 0.0000  2 H 1.70

Summary:
* E above lowest polymorph: 0 meV per atom
* total moment: 0.00 Bohr magnetons per cell
* final energy: -22.15 eV for the cell shown


Here is crystalline PmNd2Y3P6 at its relaxed geometry from Alexandria. Energies are from PBE-GGA.

Cell: 7.0779 7.0779 7.0733 Å, 99.59 99.59 119.99°
Closest atoms and distances in Å follow each position.
Sites, in units of the cell vectors:
Pm: 0.0000 0.0000 0.0000  6 P 2.91
Nd: 0.3334 0.6666 0.0000  6 P 2.92
Nd: 0.6666 0.3334 0.0000  6 P 2.92
Y: 0.1669 0.8331 0.5000  6 P 2.85-2.86
Y: 0.5000 0.5000 0.5000  6 P 2.86
Y: 0.8331 0.1669 0.5000  6 P 2.85-2.86
P: 0.0860 0.4182 0.2581  3 Y 2.85-2.86, 1 Pm 2.91, 2 Nd 2.92
P: 0.2460 0.2460 0.7417  3 Y 2.86, 1 Pm 2.91, 2 Nd 2.92
P: 0.4182 0.0860 0.2581  3 Y 2.85-2.86, 1 Pm 2.91, 2 Nd 2.92
P: 0.5818 0.9140 0.7419  3 Y 2.85-2.86, 1 Pm 2.91, 2 Nd 2.92
P: 0.7540 0.7540 0.2583  3 Y 2.86, 1 Pm 2.91, 2 Nd 2.92
P: 0.9140 0.5818 0.7419  3 Y 2.85-2.86, 1 Pm 2.91, 2 Nd 2.92

Summary:
* total moment: 0.00 Bohr magnetons per cell
* final energy: -85.12 eV for the cell shown


Here is crystalline ZnCuP2 at its relaxed geometry from Alexandria. Energies are from PBE-GGA.

Cell: 9.0119 9.0119 9.0119 Å, 17.26 17.26 17.26°
Closest atoms and distances in Å follow each position.
Sites, in units of the cell vectors:
Zn: 0.0000 0.0000 0.0000  3 Cu 2.66, 6 Zn 2.71
Cu: 0.7473 0.7473 0.7473  3 P 2.54, 3 Zn 2.66, 6 Cu 2.71
P: 0.2372 0.2372 0.2372  9 P 2.67-2.71
P: 0.4891 0.4891 0.4891  3 Cu 2.54, 9 P 2.67-2.71

Summary:
* total moment: 0.00 Bohr magnetons per cell
* final energy: -14.65 eV for the cell shown


Here is crystalline SmGa2OsO8 at its relaxed geometry from Alexandria. Energies are from PBE-GGA.

Cell: 4.7970 4.7984 6.7481 Å, 84.26 84.25 82.38°
Closest atoms and distances in Å follow each position.
Sites, in units of the cell vectors:
Sm: 0.0000 0.0000 0.0000  6 O 2.32-2.35
Ga: 0.4599 0.4601 0.2168  5 O 1.91-2.04
Ga: 0.5401 0.5399 0.7832  5 O 1.91-2.04
Os: 0.0000 0.0000 0.5000  6 O 1.82-1.95
O: 0.2056 0.7869 0.2887  1 Ga 1.93, 1 Os 1.95
O: 0.2148 0.7961 0.7110  1 Ga 1.93, 1 Os 1.95
O: 0.2529 0.2551 0.4540  1 Os 1.82, 1 Ga 2.04
O: 0.3218 0.3234 0.9944  2 Ga 1.91-1.97
O: 0.6782 0.6766 0.0056  2 Ga 1.91-1.97
O: 0.7471 0.7449 0.5460  1 Os 1.82, 1 Ga 2.04
O: 0.7852 0.2039 0.2890  1 Ga 1.93, 1 Os 1.95
O: 0.7944 0.2131 0.7113  1 Ga 1.93, 1 Os 1.95

Summary:
* raw formation energy: -1.72 eV per atom
* total moment: 0.82 Bohr magnetons per cell
* final energy: -82.28 eV for the cell shown


Here is crystalline Pu2AlS5 at its relaxed geometry from Alexandria. Energies are from PBE-GGA.

Cell: 6.8923 6.8923 12.3023 Å, 90.00 90.00 135.10°
Closest atoms and distances in Å follow each position.
Sites, in units of the cell vectors:
Pu: 0.1480 0.8520 0.5678  6 S 2.64-2.83
Pu: 0.1480 0.8520 0.9322  6 S 2.64-2.83
Pu: 0.8520 0.1480 0.0678  6 S 2.64-2.83
Pu: 0.8520 0.1480 0.4322  6 S 2.64-2.83
Al: 0.1908 0.8092 0.2500  4 S 2.36-2.45
Al: 0.8092 0.1908 0.7500  4 S 2.36-2.45
S: 0.0521 0.9479 0.1228  1 Al 2.36, 2 Pu 2.64
S: 0.0521 0.9479 0.3772  1 Al 2.36, 2 Pu 2.64
S: 0.2728 0.7272 0.7500  2 Al 2.67, 2 Pu 2.75
S: 0.3080 0.6920 0.0921  1 Al 2.45, 2 Pu 2.71
S: 0.3080 0.6920 0.4079  1 Al 2.45, 2 Pu 2.71
S: 0.6920 0.3080 0.5921  1 Al 2.45, 2 Pu 2.71
S: 0.6920 0.3080 0.9079  1 Al 2.45, 2 Pu 2.71
S: 0.7272 0.2728 0.2500  2 Al 2.67, 2 Pu 2.75
S: 0.9479 0.0521 0.6228  1 Al 2.36, 2 Pu 2.64
S: 0.9479 0.0521 0.8772  1 Al 2.36, 2 Pu 2.64

Summary:
* raw formation energy: -1.24 eV per atom
* total moment: 18.00 Bohr magnetons per cell
* final energy: -126.01 eV for the cell shown


Here is crystalline Pr2Sm4DyTm at its relaxed geometry from Alexandria. Energies are from PBE-GGA.

Cell: 9.5872 9.5872 6.8950 Å, 110.95 110.95 88.24°
Closest atoms and distances in Å follow each position.
Sites, in units of the cell vectors:
Pr: 0.0000 0.0000 0.0000  6 Sm 3.43-3.57, 2 Pr 3.45
Pr: 0.0000 0.0000 0.5000  6 Sm 3.43-3.57, 2 Pr 3.45
Pr: 0.0000 0.5000 0.0000  6 Sm 3.37-3.50, 2 Dy 3.45
Pr: 0.5000 0.0000 0.5000  6 Sm 3.37-3.50, 2 Dy 3.45
Sm: 0.2526 0.2573 0.5236  1 Dy 3.31, 2 Tm 3.34-3.46, 3 Pr 3.37-3.57, 2 Sm 3.45
Sm: 0.2528 0.7390 0.9958  1 Tm 3.24, 3 Pr 3.40-3.50, 2 Dy 3.41-3.48, 2 Sm 3.45
Sm: 0.2573 0.2526 0.0236  1 Dy 3.31, 2 Tm 3.34-3.46, 3 Pr 3.37-3.57, 2 Sm 3.45
Sm: 0.2610 0.7472 0.5042  1 Tm 3.24, 3 Pr 3.40-3.50, 2 Dy 3.41-3.48, 2 Sm 3.45
Sm: 0.7390 0.2528 0.4958  1 Tm 3.24, 3 Pr 3.40-3.50, 2 Dy 3.41-3.48, 2 Sm 3.45
Sm: 0.7427 0.7474 0.9764  1 Dy 3.31, 2 Tm 3.34-3.46, 3 Pr 3.37-3.57, 2 Sm 3.45
Sm: 0.7472 0.2610 0.0042  1 Tm 3.24, 3 Pr 3.40-3.50, 2 Dy 3.41-3.48, 2 Sm 3.45
Sm: 0.7474 0.7427 0.4764  1 Dy 3.31, 2 Tm 3.34-3.46, 3 Pr 3.37-3.57, 2 Sm 3.45
Dy: 0.0000 0.5000 0.5000  6 Sm 3.31-3.48, 2 Pr 3.45
Dy: 0.5000 0.0000 0.0000  6 Sm 3.31-3.48, 2 Pr 3.45
Tm: 0.5000 0.5000 0.0000  6 Sm 3.24-3.46, 2 Tm 3.45
Tm: 0.5000 0.5000 0.5000  6 Sm 3.24-3.46, 2 Tm 3.45

Summary:
* total moment: 0.00 Bohr magnetons per cell
* final energy: -68.74 eV for the cell shown